(1)
Density functional theory data (PBE) for a relaxed structure of NaOs.

Geometry as CIF:
```
data_NaOs
_chemical_formula_sum 'Na2 Os2'
_space_group_name_H-M_alt 'P 1'
_space_group_IT_number 1
_cell_length_a 2.728
_cell_length_b 3.899
_cell_length_c 8.250
_cell_angle_alpha 90.00
_cell_angle_beta 90.41
_cell_angle_gamma 90.00
loop_
_space_group_symop_operation_xyz
'x,y,z'
loop_
_atom_site_label
_atom_site_type_symbol
_atom_site_fract_x
_atom_site_fract_y
_atom_site_fract_z
_atom_site_occupancy
Na1 Na 0.242 0.250 0.684 1
Na2 Na 0.758 0.750 0.316 1
Os1 Os 0.251 0.250 0.055 1
Os2 Os 0.749 0.750 0.945 1
```

Results
- Energy of formation: 491.5 meV/atom

(2)
Density functional theory data (PBE) for a relaxed structure of NaOs.

Geometry as CIF:
```
data_NaOs
_chemical_formula_sum 'Na4 Os4'
_space_group_name_H-M_alt 'P 1'
_space_group_IT_number 1
_cell_length_a 5.796
_cell_length_b 5.796
_cell_length_c 5.752
_cell_angle_alpha 90.00
_cell_angle_beta 90.00
_cell_angle_gamma 90.00
loop_
_space_group_symop_operation_xyz
'x,y,z'
loop_
_atom_site_label
_atom_site_type_symbol
_atom_site_fract_x
_atom_site_fract_y
_atom_site_fract_z
_atom_site_occupancy
Na1 Na 0.674 0.326 0.000 1
Na2 Na 0.174 0.174 0.500 1
Na3 Na 0.826 0.826 0.500 1
Na4 Na 0.326 0.674 0.000 1
Os1 Os 0.865 0.865 0.000 1
Os2 Os 0.365 0.635 0.500 1
Os3 Os 0.635 0.365 0.500 1
Os4 Os 0.135 0.135 0.000 1
```

Results
- Energy of formation: 2012.3 meV/atom